Compound: Pa2GaNi3Ge4
Source: the Alexandria database
Functional: GGA-PBE
Structure: optimized geometry

a = 4.1981 Å, b = 4.1981 Å, c = 9.4993 Å
α = 90.00°, β = 90.00°, γ = 90.00°
With the nearest neighbours (Å) after each atom.
Atoms (fractional coordinates):
Pa 0.0000 0.5000 0.2447  8 Ge 3.13-3.15, 7 Ni 3.21-3.43, 2 Ga 3.21
Pa 0.5000 0.0000 0.7553  8 Ge 3.13-3.15, 7 Ni 3.21-3.43, 2 Ga 3.21
Ga 0.0000 0.0000 0.5000  4 Ge 2.50
Ni 0.0000 0.5000 0.8836  5 Ge 2.28-2.37
Ni 0.5000 0.0000 0.1164  5 Ge 2.28-2.37
Ni 0.5000 0.5000 0.5000  4 Ge 2.50
Ge 0.0000 0.0000 0.0000  4 Ni 2.37
Ge 0.0000 0.5000 0.6432  3 Ni 2.28-2.50, 2 Ga 2.50
Ge 0.5000 0.0000 0.3568  3 Ni 2.28-2.50, 2 Ga 2.50
Ge 0.5000 0.5000 0.0000  4 Ni 2.37

Properties
- final energy (eV/atom) = -6.275
- SG = No. 115
- M_tot (μB/f.u.) = 0.000